No. 1
The following is a DFT calculation (PBE) of an optimized crystal structure of Zr4AsP.

Values from the calculation:
SG   P2_1/c
Energy   -8.091 eV/atom
Energy above the lowest structure with this stoichiometry   0 meV/atom
Energy relative to the elements   -0.715 eV/atom
V   21.53 Å³ per atom

a = 6.3502 Å, b = 6.3666 Å, c = 6.3952 Å
α = 90.00°, β = 92.42°, γ = 90.00°
With the nearest neighbours (Å) after each atom.
Positions (direct):
Zr 0.1358 0.1458 0.1549  2 P 2.58-2.60, 1 As 2.72
Zr 0.1358 0.3542 0.6549  2 P 2.58-2.60, 1 As 2.72
Zr 0.3551 0.6386 0.1299  1 P 2.53, 2 As 2.63-2.65
Zr 0.3551 0.8614 0.6299  1 P 2.53, 2 As 2.63-2.65
Zr 0.6449 0.1386 0.3701  1 P 2.53, 2 As 2.63-2.65
Zr 0.6449 0.3614 0.8701  1 P 2.53, 2 As 2.63-2.65
Zr 0.8642 0.6458 0.3451  2 P 2.58-2.60, 1 As 2.72
Zr 0.8642 0.8542 0.8451  2 P 2.58-2.60, 1 As 2.72
As 0.5000 0.0000 0.0000  6 Zr 2.63-2.72
As 0.5000 0.5000 0.5000  6 Zr 2.63-2.72
P 0.0000 0.0000 0.5000  6 Zr 2.53-2.60
P 0.0000 0.5000 0.0000  6 Zr 2.53-2.60



No. 2
The following is a DFT calculation (PBE) of an optimized crystal structure of ZrAsP2.

Values from the calculation:
SG   R-3m
Energy   -6.359 eV/atom
Energy relative to the elements   -0.355 eV/atom
V   18.32 Å³ per atom

a = 6.7942 Å, b = 6.7942 Å, c = 6.7942 Å
α = 30.88°, β = 30.88°, γ = 30.88°
With the nearest neighbours (Å) after each atom.
Positions (direct):
Zr 0.0000 0.0000 0.0000  6 P 2.69
As 0.5000 0.5000 0.5000  6 P 2.59
P 0.2457 0.2457 0.2457  3 As 2.59, 3 Zr 2.69
P 0.7543 0.7543 0.7543  3 As 2.59, 3 Zr 2.69